1.
Material: SmTi2Co2
Method: DFT, PBE
State: optimized geometry

Cell: 4.1607 4.1607 9.9949 Å, 90.00 90.00 90.00°
Last column: nearest neighbours and their distance in Å.
Space group I4/mmm (No. 139)
Unique sites:
Sm (0.0000, 0.0000, 0.0000) [2 per cell]  8 Co 3.17, 8 Ti 3.25
Ti (0.0000, 0.5000, 0.2500) [4 per cell]  4 Co 2.46
Co (0.0000, 0.0000, 0.3820) [4 per cell]  1 Co 2.36, 4 Ti 2.46

Summary:
The value obtained for the calculated total energy is -7.22 eV per atom. For the calculated volume, the calculation gives 173 Å³/cell. The value obtained for the energy of formation from the pure elements is -272 meV/atom.

2.
Material: Sm2TiCo16
Method: DFT, PBE
State: optimized geometry

Cell: 8.3823 8.3823 12.1995 Å, 90.00 90.00 120.00°
Last column: nearest neighbours and their distance in Å.
Space group R3m (No. 160, hexagonal axes)
Unique sites:
Sm (0.0000, 0.0000, 0.0000) [3 per cell]  18 Co 2.97-3.32, 1 Ti 3.16
Sm (0.0000, 0.0000, 0.3047) [3 per cell]  19 Co 2.99-3.23
Ti (0.0000, 0.0000, 0.7412) [3 per cell]  1 Co 2.33
Co (0.0000, 0.0000, 0.5499) [3 per cell]  1 Ti 2.33, 6 Co 2.53-2.57
Co (0.0030, 0.5015, 0.4957) [9 per cell]  8 Co 2.43-2.56, 1 Ti 2.63
Co (0.0042, 0.5021, 0.1493) [9 per cell]  9 Co 2.37-2.53, 1 Ti 2.61
Co (0.0433, 0.3758, 0.3145) [18 per cell]  8 Co 2.37-2.58
Co (0.1695, 0.3389, 0.1363) [9 per cell]  9 Co 2.39-2.58

Summary:
The value obtained for the calculated total energy is -7.02 eV per atom. For the calculated volume, the calculation gives 742 Å³/cell. The value obtained for the energy of formation from the pure elements is -122 meV/atom.

3.
Material: Sm2Ti2Co15
Method: DFT, PBE
State: optimized geometry

Cell: 8.4027 8.4027 12.3365 Å, 90.00 90.00 120.00°
Last column: nearest neighbours and their distance in Å.
Space group R-3m (No. 166, hexagonal axes)
Unique sites:
Sm (0.0000, 0.0000, 0.1463) [6 per cell]  15 Co 2.94-3.21, 1 Ti 3.06
Ti (0.0000, 0.0000, 0.3939) [6 per cell]  12 Co 2.54-2.77, 1 Ti 2.62
Co (0.0000, 0.2900, 0.5000) [18 per cell]  8 Co 2.41-2.58
Co (0.0000, 0.5000, 0.0000) [9 per cell]  8 Co 2.41-2.42, 2 Ti 2.54
Co (0.0031, 0.5016, 0.3473) [18 per cell]  8 Co 2.42-2.58, 1 Ti 2.57

Summary:
The value obtained for the calculated total energy is -7.08 eV per atom. For the calculated volume, the calculation gives 754 Å³/cell. The value obtained for the energy of formation from the pure elements is -146 meV/atom.

4.
Material: SmTiCo4
Method: DFT, PBE
State: optimized geometry

Cell: 6.9883 6.9883 6.9883 Å, 90.00 90.00 90.00°
Last column: nearest neighbours and their distance in Å.
Space group F-43m (No. 216)
Unique sites:
Sm (0.0000, 0.0000, 0.0000) [4 per cell]  12 Co 2.90, 4 Ti 3.03
Ti (0.2500, 0.2500, 0.7500) [4 per cell]  12 Co 2.90, 4 Sm 3.03
Co (0.1241, 0.1241, 0.3759) [16 per cell]  6 Co 2.45-2.49

Summary:
The value obtained for the calculated total energy is -6.94 eV per atom. For the calculated volume, the calculation gives 341 Å³/cell. The value obtained for the energy of formation from the pure elements is -105 meV/atom.

5.
Material: SmTiCo11
Method: DFT, PBE
State: optimized geometry

Cell: 4.6900 8.3796 8.3552 Å, 90.00 90.00 90.00°
Last column: nearest neighbours and their distance in Å.
Space group Imm2 (No. 44)
Unique sites:
Sm (0.0000, 0.0000, 0.0000) [2 per cell]  19 Co 2.91-3.22, 1 Ti 3.15
Ti (0.0000, 0.0000, 0.3767) [2 per cell]  1 Co 2.30
Co (0.0000, 0.0000, 0.6521) [2 per cell]  1 Ti 2.30, 6 Co 2.52-2.56
Co (0.0000, 0.2791, 0.5071) [4 per cell]  8 Co 2.38-2.63, 1 Ti 2.58
Co (0.0000, 0.3588, 0.0076) [4 per cell]  9 Co 2.37-2.61
Co (0.0000, 0.5000, 0.2756) [2 per cell]  10 Co 2.39-2.68
Co (0.0000, 0.5000, 0.7302) [2 per cell]  8 Co 2.42-2.63, 2 Ti 2.65
Co (0.2480, 0.2473, 0.7542) [8 per cell]  9 Co 2.33-2.59

Summary:
The value obtained for the calculated total energy is -7.10 eV per atom. For the calculated volume, the calculation gives 328 Å³/cell. The value obtained for the energy of formation from the pure elements is -115 meV/atom.

6.
Material: Sm8Tl2Co3
Method: DFT, PBE
State: optimized geometry

Cell: 15.8361 7.4000 6.9447 Å, 90.00 105.83 90.00°
Last column: nearest neighbours and their distance in Å.
Space group C2/m (No. 12)
Unique sites:
Sm (0.0949, 0.2435, 0.3769) [8 per cell]  2 Co 2.63-2.65
Sm (0.1008, 0.5000, 0.9358) [4 per cell]  2 Co 2.78
Sm (0.1214, 0.0000, 0.8761) [4 per cell]  3 Co 2.79
Tl (0.2407, 0.5000, 0.6704) [4 per cell]  6 Sm 3.24-3.31
Co (0.0000, 0.0000, 0.5000) [2 per cell]  6 Sm 2.63-2.79
Co (0.0000, 0.2103, 0.0000) [4 per cell]  6 Sm 2.65-2.79

Summary:
The value obtained for the calculated total energy is -4.96 eV per atom. For the calculated volume, the calculation gives 783 Å³/cell. The value obtained for the energy of formation from the pure elements is -56 meV/atom.

7.
Material: Sm11Tl9Co4
Method: DFT, PBE
State: optimized geometry

Cell: 14.7936 22.0890 3.7399 Å, 90.00 90.00 90.00°
Last column: nearest neighbours and their distance in Å.
Space group Cmmm (No. 65)
Unique sites:
Sm (0.0000, 0.0000, 0.0000) [2 per cell]  8 Tl 3.29, 2 Sm 3.59
Sm (0.0000, 0.1626, 0.0000) [4 per cell]  8 Tl 3.30-3.52, 1 Sm 3.59
Sm (0.0000, 0.3751, 0.0000) [4 per cell]  4 Co 2.97
Sm (0.1861, 0.5000, 0.0000) [4 per cell]  4 Co 2.95
Sm (0.2474, 0.3337, 0.0000) [8 per cell]  2 Co 2.76
Tl (0.0000, 0.5000, 0.5000) [2 per cell]  4 Co 3.16, 8 Sm 3.33
Tl (0.1060, 0.2631, 0.5000) [8 per cell]  1 Co 3.08, 1 Tl 3.14, 4 Sm 3.21-3.30
Tl (0.1486, 0.0715, 0.5000) [8 per cell]  1 Co 3.03, 1 Tl 3.16, 4 Sm 3.20-3.29
Co (0.1514, 0.3992, 0.5000) [8 per cell]  6 Sm 2.76-2.97, 2 Tl 3.03-3.08

Summary:
The value obtained for the calculated total energy is -4.54 eV per atom. For the calculated volume, the calculation gives 1222 Å³/cell. The value obtained for the energy of formation from the pure elements is -305 meV/atom.

8.
Material: Sm7TlCo2
Method: DFT, PBE
State: optimized geometry

Cell: 9.1083 13.5652 5.0330 Å, 90.00 90.00 90.00°
Last column: nearest neighbours and their distance in Å.
Space group Cmmm (No. 65)
Unique sites:
Sm (0.0000, 0.0000, 0.0000) [2 per cell]  2 Co 2.74
Sm (0.0000, 0.2058, 0.5000) [4 per cell]  2 Co 2.52
Sm (0.1823, 0.3687, 0.0000) [8 per cell]  2 Co 2.81-3.05
Tl (0.0000, 0.5000, 0.5000) [2 per cell]  8 Sm 3.50
Co (0.0000, 0.2019, 0.0000) [4 per cell]  5 Sm 2.52-2.81

Summary:
The value obtained for the calculated total energy is -4.96 eV per atom. For the calculated volume, the calculation gives 622 Å³/cell. The value obtained for the energy of formation from the pure elements is 2 meV/atom.

9.
Material: Sm5Tl2Co
Method: DFT, PBE
State: optimized geometry

Cell: 8.1789 11.9418 4.7263 Å, 90.00 90.00 90.00°
Last column: nearest neighbours and their distance in Å.
Space group Pbam (No. 55)
Unique sites:
Sm (0.0000, 0.0000, 0.0000) [2 per cell]  4 Tl 3.17
Sm (0.1347, 0.3039, 0.0000) [4 per cell]  1 Co 2.59
Sm (0.1813, 0.5674, 0.5000) [4 per cell]  2 Co 2.90
Tl (0.0736, 0.8303, 0.5000) [4 per cell]  9 Sm 3.17-3.47
Co (0.0000, 0.5000, 0.0000) [2 per cell]  2 Sm 2.59

Summary:
The value obtained for the calculated total energy is -4.68 eV per atom. For the calculated volume, the calculation gives 462 Å³/cell. The value obtained for the energy of formation from the pure elements is -247 meV/atom. Its offset from the most stable computed form is 0.000 eV per atom.

10.
Material: Sm8Tl2Co
Method: DFT, PBE
State: optimized geometry

Cell: 18.8779 5.3476 6.8437 Å, 90.00 110.79 90.00°
Last column: nearest neighbours and their distance in Å.
Space group C2/m (No. 12)
Unique sites:
Sm (0.0137, 0.0000, 0.2384) [4 per cell]  2 Co 3.09, 3 Sm 3.12-3.31, 1 Tl 3.23
Sm (0.0879, 0.5000, 0.7480) [4 per cell]  1 Co 2.79
Sm (0.1447, 0.5000, 0.3196) [4 per cell]  1 Co 2.83
Sm (0.2081, 0.0000, 0.1103) [4 per cell]  3 Tl 3.18-3.55, 2 Sm 3.44
Tl (0.1742, 0.0000, 0.6210) [4 per cell]  9 Sm 3.18-3.55
Co (0.0000, 0.5000, 0.0000) [2 per cell]  8 Sm 2.79-3.09

Summary:
The value obtained for the calculated total energy is -4.63 eV per atom. For the calculated volume, the calculation gives 646 Å³/cell. The value obtained for the energy of formation from the pure elements is -125 meV/atom. Its offset from the most stable computed form is 0.019 eV per atom.

11.
Material: Sm5Tl2Co
Method: DFT, PBE
State: optimized geometry

Cell: 5.3516 17.0287 12.5723 Å, 90.00 90.00 90.00°
Last column: nearest neighbours and their distance in Å.
Space group Cmcm (No. 63)
Unique sites:
Sm (0.0000, 0.0755, 0.1038) [8 per cell]  1 Co 2.64
Sm (0.0000, 0.2936, 0.0833) [8 per cell]  1 Co 2.78
Sm (0.0000, 0.2948, 0.7500) [4 per cell]  2 Co 2.69
Tl (0.0000, 0.1125, 0.6344) [8 per cell]  1 Tl 2.91, 4 Sm 3.06-3.22
Co (0.0000, 0.1863, 0.2500) [4 per cell]  6 Sm 2.64-2.78

Summary:
The value obtained for the calculated total energy is -4.34 eV per atom. For the calculated volume, the calculation gives 1146 Å³/cell. The value obtained for the energy of formation from the pure elements is 92 meV/atom. Its offset from the most stable computed form is 0.339 eV per atom.

12.
Material: Sm12TlCo5
Method: DFT, PBE
State: optimized geometry

Cell: 9.6599 9.7329 9.9856 Å, 90.00 90.00 90.00°
Last column: nearest neighbours and their distance in Å.
Space group Immm (No. 71)
Unique sites:
Sm (0.0000, 0.1914, 0.2017) [8 per cell]  2 Co 2.73-2.74
Sm (0.1941, 0.5000, 0.1849) [8 per cell]  3 Co 2.76-2.88
Sm (0.2028, 0.3146, 0.5000) [8 per cell]  2 Co 2.89
Tl (0.0000, 0.0000, 0.5000) [2 per cell]  12 Sm 3.48-3.63
Co (0.0000, 0.0000, 0.0000) [2 per cell]  4 Sm 2.74
Co (0.0000, 0.3809, 0.0000) [4 per cell]  1 Co 2.32
Co (0.0000, 0.5000, 0.3880) [4 per cell]  1 Co 2.24

Summary:
The value obtained for the calculated total energy is -5.41 eV per atom. For the calculated volume, the calculation gives 939 Å³/cell. The value obtained for the energy of formation from the pure elements is -158 meV/atom.

13.
Material: Sm4Tl2Co
Method: DFT, PBE
State: optimized geometry

Cell: 6.6585 3.7826 8.6119 Å, 90.00 104.02 90.00°
Last column: nearest neighbours and their distance in Å.
Space group P2/m (No. 10)
Unique sites:
Sm (0.1405, 0.0000, 0.3313) [2 per cell]  1 Co 2.78
Sm (0.2566, 0.5000, 0.9849) [2 per cell]  2 Co 2.57
Tl (0.3979, 0.5000, 0.6513) [2 per cell]  1 Tl 3.22, 6 Sm 3.23-3.58
Co (0.0000, 0.0000, 0.0000) [1 per cell]  6 Sm 2.57-2.78

Summary:
The value obtained for the calculated total energy is -4.48 eV per atom. For the calculated volume, the calculation gives 210 Å³/cell. The value obtained for the energy of formation from the pure elements is -95 meV/atom.

14.
Material: Sm12Tl5Co2
Method: DFT, PBE
State: optimized geometry

Cell: 17.0789 7.7874 9.9498 Å, 90.00 106.78 90.00°
Last column: nearest neighbours and their distance in Å.
Space group C2/m (No. 12)
Unique sites:
Sm (0.0012, 0.0000, 0.2725) [4 per cell]  2 Co 2.80
Sm (0.0014, 0.5000, 0.3227) [4 per cell]  2 Co 2.87, 1 Tl 3.20
Sm (0.1531, 0.2547, 0.0769) [8 per cell]  4 Tl 3.15-3.18
Sm (0.1568, 0.2332, 0.5803) [8 per cell]  1 Co 2.57
Tl (0.0000, 0.5000, 0.0000) [2 per cell]  6 Sm 3.15-3.20
Tl (0.1933, 0.0000, 0.8605) [4 per cell]  7 Sm 3.15-3.23
Tl (0.1961, 0.0000, 0.3378) [4 per cell]  7 Sm 3.18-3.24
Co (0.0000, 0.2095, 0.5000) [4 per cell]  6 Sm 2.57-2.87

Summary:
The value obtained for the calculated total energy is -4.42 eV per atom. For the calculated volume, the calculation gives 1267 Å³/cell. The value obtained for the energy of formation from the pure elements is -64 meV/atom.

15.
Material: Sm5Tl2Co2
Method: DFT, PBE
State: optimized geometry

Cell: 16.7554 7.5032 7.5654 Å, 90.00 90.00 90.00°
Last column: nearest neighbours and their distance in Å.
Space group Cmce (No. 64)
Unique sites:
Sm (0.0000, 0.0000, 0.0000) [4 per cell]  4 Co 3.04-3.07, 8 Sm 3.36-3.40
Sm (0.1159, 0.1816, 0.3216) [16 per cell]  3 Co 2.96-2.97, 2 Tl 3.28-3.30
Tl (0.2251, 0.0000, 0.0000) [8 per cell]  6 Sm 3.28-3.34
Co (0.0000, 0.1099, 0.6090) [8 per cell]  1 Co 2.33

Summary:
The value obtained for the calculated total energy is -4.92 eV per atom. For the calculated volume, the calculation gives 951 Å³/cell. The value obtained for the energy of formation from the pure elements is -190 meV/atom.

16.
Material: Sm5TlCo
Method: DFT, PBE
State: optimized geometry

Cell: 10.9189 6.9779 11.5619 Å, 90.00 110.01 90.00°
Last column: nearest neighbours and their distance in Å.
Space group C2/c (No. 15)
Unique sites:
Sm (0.0000, 0.0070, 0.2500) [4 per cell]  2 Co 2.89
Sm (0.1202, 0.3202, 0.0475) [8 per cell]  1 Co 2.55
Sm (0.2179, 0.1879, 0.6360) [8 per cell]  1 Co 2.70
Tl (0.0000, 0.4676, 0.7500) [4 per cell]  10 Sm 3.29-3.67
Co (0.0000, 0.0000, 0.0000) [4 per cell]  4 Sm 2.55-2.70

Summary:
The value obtained for the calculated total energy is -4.78 eV per atom. For the calculated volume, the calculation gives 828 Å³/cell. The value obtained for the energy of formation from the pure elements is -55 meV/atom.

17.
Material: Sm6Tl2Co
Method: DFT, PBE
State: optimized geometry

Cell: 7.2827 7.2421 12.4454 Å, 90.00 125.53 90.00°
Last column: nearest neighbours and their distance in Å.
Space group P2_1/c (No. 14)
Unique sites:
Sm (0.2035, 0.0000, 0.2526) [4 per cell]  1 Co 2.58
Sm (0.2741, 0.2469, 0.5243) [4 per cell]  1 Co 2.60
Sm (0.2776, 0.7496, 0.0245) [4 per cell]  1 Co 2.60
Tl (0.2534, 0.5010, 0.2521) [4 per cell]  7 Sm 3.29-3.65
Co (0.0000, 0.0000, 0.0000) [2 per cell]  6 Sm 2.58-2.60

Summary:
The value obtained for the calculated total energy is -4.65 eV per atom. For the calculated volume, the calculation gives 534 Å³/cell. The value obtained for the energy of formation from the pure elements is -188 meV/atom.

18.
Material: Sm12TlCo6
Method: DFT, PBE
State: optimized geometry

Cell: 9.8844 9.8844 9.8844 Å, 90.00 90.00 90.00°
Last column: nearest neighbours and their distance in Å.
Space group Im-3 (No. 204)
Unique sites:
Sm (0.0000, 0.3050, 0.1934) [24 per cell]  3 Co 2.73-2.93
Tl (0.0000, 0.0000, 0.0000) [2 per cell]  12 Sm 3.57
Co (0.0000, 0.1116, 0.5000) [12 per cell]  1 Co 2.21

Summary:
The value obtained for the calculated total energy is -5.52 eV per atom. For the calculated volume, the calculation gives 966 Å³/cell. The value obtained for the energy of formation from the pure elements is -168 meV/atom.